(1)
KMg2Ga2 | SCAN | single point on PBEsol structure

The structure belongs to space group P4/mbm (No. 127); the cell edges are 8.764, 8.764 and 2.981 Å and the angles 90.00°, 90.00° and 90.00°. The distinct sites, in fractional coordinates, are K at (0.000, 0.000, 0.000), Mg at (0.135, 0.365, 0.500) and Ga at (0.155, 0.655, 0.000).

The calculation puts the formation energy at -0.09 eV/atom. The value obtained for the mass density is 3.295 g cm⁻³. The value obtained for the energy above the most stable polymorph in this dataset is 3 meV per atom.

=====

(2)
NdCuAg | SCAN | single point on PBEsol structure

The structure belongs to space group C2/m (No. 12); the cell edges are 9.982, 4.191 and 7.119 Å and the angles 90.00°, 125.52° and 90.00°. The distinct sites, in fractional coordinates, are Nd at (0.058, 0.000, 0.302), Cu at (0.140, 0.500, 0.676) and Ag at (0.179, 0.500, 0.089).

The calculation puts the formation energy at -0.27 eV/atom. The value obtained for the mass density is 8.650 g cm⁻³.

=====

(3)
Hf3TlF | SCAN | single point on PBEsol structure

The structure belongs to space group Pm-3m (No. 221); the cell edges are 5.277, 5.277 and 5.277 Å and the angles 90.00°, 90.00° and 90.00°. The distinct sites, in fractional coordinates, are Hf at (0.000, 0.000, 0.500), Tl at (0.000, 0.000, 0.000) and F at (0.500, 0.500, 0.500).

The value obtained for the mass density is 8.573 g cm⁻³. The calculation puts the raw total energy at -51.406 eV/atom.

=====

(4)
Tm2TiO5 | SCAN | single point on PBEsol structure

The structure belongs to space group Pnma (No. 62); the cell edges are 7.204, 3.582 and 15.099 Å and the angles 90.00°, 90.00° and 90.00°. The distinct sites, in fractional coordinates, are Tm at (0.088, 0.250, 0.090), Tm at (0.139, 0.250, 0.733), Ti at (0.126, 0.250, 0.427), O at (0.078, 0.750, 0.453), O at (0.089, 0.750, 0.179), O at (0.108, 0.750, 0.649), O at (0.152, 0.750, 0.003) and O at (0.213, 0.750, 0.829).

The value obtained for the mass density is 7.938 g cm⁻³. The value obtained for the energy above the most stable polymorph in this dataset is 0 meV per atom.